# PBE-GGA NaPrTm2Hg4, optimized geometry
# * calculated formation energy: -388 meV/atom
# * crystal system: trigonal
# * total moment: 0.0 μB/cell
data_NaPrTm2Hg4
_chemical_formula_sum 'Na3 Pr3 Tm6 Hg12'
_space_group_name_H-M_alt 'R -3 m'
_space_group_IT_number 166
_space_group_name_Hall '-R 3 2"'
_cell_length_a 5.1871
_cell_length_b 5.1871
_cell_length_c 26.4668
_cell_angle_alpha 90.00
_cell_angle_beta 90.00
_cell_angle_gamma 120.00
loop_
_atom_site_label
_atom_site_type_symbol
_atom_site_fract_x
_atom_site_fract_y
_atom_site_fract_z
Na1 Na 0.0000 0.0000 0.0000
Pr1 Pr 0.0000 0.0000 0.5000
Tm1 Tm 0.0000 0.0000 0.2559
Hg1 Hg 0.0000 0.0000 0.1186
Hg2 Hg 0.0000 0.0000 0.3739


# PBE-GGA NaPrYHg, optimized geometry
# * calculated formation energy: -78 meV/atom
# * crystal system: cubic
# * total moment: 3.4 μB/cell
data_NaPrYHg
_chemical_formula_sum 'Na4 Pr4 Y4 Hg4'
_space_group_name_H-M_alt 'F -4 3 m'
_space_group_IT_number 216
_space_group_name_Hall 'F -4 2 3'
_cell_length_a 7.7143
_cell_length_b 7.7143
_cell_length_c 7.7143
_cell_angle_alpha 90.00
_cell_angle_beta 90.00
_cell_angle_gamma 90.00
loop_
_atom_site_label
_atom_site_type_symbol
_atom_site_fract_x
_atom_site_fract_y
_atom_site_fract_z
Na1 Na 0.0000 0.0000 0.0000
Pr1 Pr 0.2500 0.2500 0.7500
Y1 Y 0.2500 0.2500 0.2500
Hg1 Hg 0.0000 0.0000 0.5000


# PBE-GGA NaPrY2Hg4, optimized geometry
# * calculated formation energy: -412 meV/atom
# * crystal system: trigonal
# * total moment: 0.0 μB/cell
data_NaPrY2Hg4
_chemical_formula_sum 'Na3 Pr3 Y6 Hg12'
_space_group_name_H-M_alt 'R -3 m'
_space_group_IT_number 166
_space_group_name_Hall '-R 3 2"'
_cell_length_a 5.2383
_cell_length_b 5.2383
_cell_length_c 26.5581
_cell_angle_alpha 90.00
_cell_angle_beta 90.00
_cell_angle_gamma 120.00
loop_
_atom_site_label
_atom_site_type_symbol
_atom_site_fract_x
_atom_site_fract_y
_atom_site_fract_z
Na1 Na 0.0000 0.0000 0.0000
Pr1 Pr 0.0000 0.0000 0.5000
Y1 Y 0.0000 0.0000 0.2560
Hg1 Hg 0.0000 0.0000 0.1204
Hg2 Hg 0.0000 0.0000 0.3745


# PBE-GGA NaPrZnHg, optimized geometry
# * calculated formation energy: -246 meV/atom
# * crystal system: cubic
# * total moment: 0.0 μB/cell
data_NaPrZnHg
_chemical_formula_sum 'Na4 Pr4 Zn4 Hg4'
_space_group_name_H-M_alt 'F -4 3 m'
_space_group_IT_number 216
_space_group_name_Hall 'F -4 2 3'
_cell_length_a 7.3751
_cell_length_b 7.3751
_cell_length_c 7.3751
_cell_angle_alpha 90.00
_cell_angle_beta 90.00
_cell_angle_gamma 90.00
loop_
_atom_site_label
_atom_site_type_symbol
_atom_site_fract_x
_atom_site_fract_y
_atom_site_fract_z
Na1 Na 0.0000 0.0000 0.0000
Pr1 Pr 0.0000 0.0000 0.5000
Zn1 Zn 0.2500 0.2500 0.2500
Hg1 Hg 0.2500 0.2500 0.7500


# PBE-GGA Na12Hg3Pt, optimized geometry
# * calculated formation energy: -107 meV/atom
# * crystal system: tetragonal
# * total moment: 0.0 μB/cell
data_Na12Hg3Pt
_chemical_formula_sum 'Na12 Hg3 Pt1'
_space_group_name_H-M_alt 'P 4/m m m'
_space_group_IT_number 123
_space_group_name_Hall '-P 4 2'
_cell_length_a 4.8248
_cell_length_b 4.8248
_cell_length_c 18.7759
_cell_angle_alpha 90.00
_cell_angle_beta 90.00
_cell_angle_gamma 90.00
loop_
_atom_site_label
_atom_site_type_symbol
_atom_site_fract_x
_atom_site_fract_y
_atom_site_fract_z
Na1 Na 0.0000 0.0000 0.0000
Na2 Na 0.0000 0.0000 0.2388
Na3 Na 0.0000 0.0000 0.5000
Na4 Na 0.0000 0.5000 0.1060
Na5 Na 0.0000 0.5000 0.3703
Hg1 Hg 0.5000 0.5000 0.2429
Hg2 Hg 0.5000 0.5000 0.5000
Pt1 Pt 0.5000 0.5000 0.0000


# PBE-GGA NaHg2Pt, optimized geometry
# * calculated formation energy: -175 meV/atom
# * crystal system: orthorhombic
# * total moment: 0.0 μB/cell
data_NaHg2Pt
_chemical_formula_sum 'Na4 Hg8 Pt4'
_space_group_name_H-M_alt 'C m c m'
_space_group_IT_number 63
_space_group_name_Hall '-C 2c 2'
_cell_length_a 4.2972
_cell_length_b 10.5155
_cell_length_c 8.0052
_cell_angle_alpha 90.00
_cell_angle_beta 90.00
_cell_angle_gamma 90.00
loop_
_atom_site_label
_atom_site_type_symbol
_atom_site_fract_x
_atom_site_fract_y
_atom_site_fract_z
Na1 Na 0.0000 0.0649 0.2500
Hg1 Hg 0.0000 0.3632 0.0488
Pt1 Pt 0.0000 0.2235 0.7500